No. 1
Material: CaBe2Rh
Method: DFT, SCAN
State: single point on PBEsol structure

Summary:
Formation energy: 0.0318 eV per atom

Cell: 6.0457 6.0457 6.0457 Å, 90.00 90.00 90.00°
Last column: nearest neighbours and their distance in Å.
Fractional positions:
Ca: 0.0000 0.0000 0.0000  8 Be 2.62
Ca: 0.0000 0.5000 0.5000  8 Be 2.62
Ca: 0.5000 0.0000 0.5000  8 Be 2.62
Ca: 0.5000 0.5000 0.0000  8 Be 2.62
Be: 0.2500 0.2500 0.2500  4 Ca 2.62, 4 Rh 2.62
Be: 0.2500 0.2500 0.7500  4 Ca 2.62, 4 Rh 2.62
Be: 0.2500 0.7500 0.2500  4 Ca 2.62, 4 Rh 2.62
Be: 0.2500 0.7500 0.7500  4 Ca 2.62, 4 Rh 2.62
Be: 0.7500 0.2500 0.2500  4 Ca 2.62, 4 Rh 2.62
Be: 0.7500 0.2500 0.7500  4 Ca 2.62, 4 Rh 2.62
Be: 0.7500 0.7500 0.2500  4 Ca 2.62, 4 Rh 2.62
Be: 0.7500 0.7500 0.7500  4 Ca 2.62, 4 Rh 2.62
Rh: 0.0000 0.0000 0.5000  8 Be 2.62
Rh: 0.0000 0.5000 0.0000  8 Be 2.62
Rh: 0.5000 0.0000 0.0000  8 Be 2.62
Rh: 0.5000 0.5000 0.5000  8 Be 2.62

***

No. 2
Material: CaBe2Rh
Method: DFT, SCAN
State: single point on PBEsol structure

Summary:
Formation energy: -0.1280 eV per atom

Cell: 4.2966 4.2966 15.2049 Å, 90.00 90.00 90.00°
Last column: nearest neighbours and their distance in Å.
Fractional positions:
Ca: 0.0000 0.2500 0.3750  4 Rh 3.04, 8 Be 3.06
Ca: 0.0000 0.7500 0.6250  4 Rh 3.04, 8 Be 3.06
Ca: 0.5000 0.2500 0.1250  4 Rh 3.04, 8 Be 3.06
Ca: 0.5000 0.7500 0.8750  4 Rh 3.04, 8 Be 3.06
Be: 0.0000 0.0000 0.0000  2 Be 2.15, 2 Rh 2.18
Be: 0.0000 0.5000 0.0000  2 Be 2.15, 2 Rh 2.18
Be: 0.2500 0.2500 0.7500  2 Be 2.15, 2 Rh 2.18
Be: 0.2500 0.7500 0.2500  2 Be 2.15, 2 Rh 2.18
Be: 0.5000 0.0000 0.5000  2 Be 2.15, 2 Rh 2.18
Be: 0.5000 0.5000 0.5000  2 Be 2.15, 2 Rh 2.18
Be: 0.7500 0.2500 0.7500  2 Be 2.15, 2 Rh 2.18
Be: 0.7500 0.7500 0.2500  2 Be 2.15, 2 Rh 2.18
Rh: 0.0000 0.2500 0.8750  4 Be 2.18
Rh: 0.0000 0.7500 0.1250  4 Be 2.18
Rh: 0.5000 0.2500 0.6250  4 Be 2.18
Rh: 0.5000 0.7500 0.3750  4 Be 2.18

***

No. 3
Material: Ca2BeRh
Method: DFT, SCAN
State: single point on PBEsol structure

Summary:
Formation energy: -0.4134 eV per atom

Cell: 3.8816 3.8816 22.1859 Å, 90.00 90.00 120.00°
Last column: nearest neighbours and their distance in Å.
Fractional positions:
Ca: 0.0000 0.0000 0.0000  3 Be 2.96, 3 Rh 2.96
Ca: 0.0000 0.0000 0.1747  3 Rh 2.96, 3 Be 2.96
Ca: 0.3333 0.6667 0.6667  3 Be 2.96, 3 Rh 2.96
Ca: 0.3333 0.6667 0.8414  3 Rh 2.96, 3 Be 2.96
Ca: 0.6667 0.3333 0.3333  3 Be 2.96, 3 Rh 2.96
Ca: 0.6667 0.3333 0.5080  3 Rh 2.96, 3 Be 2.96
Be: 0.0000 0.0000 0.4207  3 Rh 2.24
Be: 0.3333 0.6667 0.0873  3 Rh 2.24
Be: 0.6667 0.3333 0.7540  3 Rh 2.24
Rh: 0.0000 0.0000 0.7542  3 Be 2.24
Rh: 0.3333 0.6667 0.4208  3 Be 2.24
Rh: 0.6667 0.3333 0.0875  3 Be 2.24

***

No. 4
Material: Ca2Be2Rh
Method: DFT, SCAN
State: single point on PBEsol structure

Summary:
Formation energy: 0.1857 eV per atom

Cell: 5.4581 5.4581 6.5401 Å, 90.00 90.00 90.00°
Last column: nearest neighbours and their distance in Å.
Fractional positions:
Ca: 0.0000 0.5000 0.2500  4 Be 2.79
Ca: 0.0000 0.5000 0.7500  4 Be 2.79
Ca: 0.5000 0.0000 0.2500  4 Be 2.79
Ca: 0.5000 0.0000 0.7500  4 Be 2.79
Be: 0.0000 0.0000 0.1600  1 Be 2.09, 1 Rh 2.22
Be: 0.0000 0.0000 0.8400  1 Be 2.09, 1 Rh 2.22
Be: 0.5000 0.5000 0.3400  1 Be 2.09, 1 Rh 2.22
Be: 0.5000 0.5000 0.6600  1 Be 2.09, 1 Rh 2.22
Rh: 0.0000 0.0000 0.5000  2 Be 2.22
Rh: 0.5000 0.5000 0.0000  2 Be 2.22

***

No. 5
Material: CaBe2Rh
Method: DFT, SCAN
State: single point on PBEsol structure

Summary:
Formation energy: -0.4258 eV per atom

Cell: 3.8736 3.8736 14.8620 Å, 90.00 90.00 120.00°
Last column: nearest neighbours and their distance in Å.
Fractional positions:
Ca: 0.0000 0.0000 0.0000  8 Be 2.79-3.11
Ca: 0.3333 0.6667 0.6667  8 Be 2.79-3.11
Ca: 0.6667 0.3333 0.3333  8 Be 2.79-3.11
Be: 0.0000 0.0000 0.1875  3 Rh 2.26, 3 Be 2.32
Be: 0.0000 0.0000 0.8125  3 Rh 2.26, 3 Be 2.32
Be: 0.3333 0.6667 0.4792  3 Rh 2.26, 3 Be 2.32
Be: 0.3333 0.6667 0.8542  3 Rh 2.26, 3 Be 2.32
Be: 0.6667 0.3333 0.1458  3 Rh 2.26, 3 Be 2.32
Be: 0.6667 0.3333 0.5208  3 Rh 2.26, 3 Be 2.32
Rh: 0.0000 0.0000 0.5000  6 Be 2.26
Rh: 0.3333 0.6667 0.1667  6 Be 2.26
Rh: 0.6667 0.3333 0.8333  6 Be 2.26

***

No. 6
Material: CaBe2Rh
Method: DFT, SCAN
State: single point on PBEsol structure

Summary:
Formation energy: -0.4132 eV per atom

Cell: 6.6247 3.8404 5.5963 Å, 90.00 113.46 90.00°
Last column: nearest neighbours and their distance in Å.
Fractional positions:
Ca: 0.0000 0.0000 0.0000  1 Be 2.83, 4 Rh 2.94-3.12
Ca: 0.5000 0.5000 0.0000  1 Be 2.83, 4 Rh 2.94-3.12
Be: 0.0038 0.5000 0.5139  3 Be 2.21-2.23, 3 Rh 2.26
Be: 0.1841 0.0000 0.5517  3 Be 2.21-2.23, 3 Rh 2.30-2.31
Be: 0.5038 0.0000 0.5139  3 Be 2.21-2.23, 3 Rh 2.26
Be: 0.6841 0.5000 0.5517  3 Be 2.21-2.23, 3 Rh 2.30-2.31
Rh: 0.3085 0.5000 0.4267  6 Be 2.26-2.31
Rh: 0.8085 0.0000 0.4267  6 Be 2.26-2.31

***

No. 7
Material: Ca2BeRh
Method: DFT, SCAN
State: single point on PBEsol structure

Summary:
Formation energy: 0.1251 eV per atom

Cell: 6.6481 6.6481 6.6481 Å, 90.00 90.00 90.00°
Last column: nearest neighbours and their distance in Å.
Fractional positions:
Ca: 0.0000 0.0000 0.0000  4 Ca 2.88, 4 Be 2.88
Ca: 0.0000 0.5000 0.5000  4 Ca 2.88, 4 Be 2.88
Ca: 0.2500 0.2500 0.2500  4 Ca 2.88, 4 Rh 2.88
Ca: 0.2500 0.7500 0.7500  4 Ca 2.88, 4 Rh 2.88
Ca: 0.5000 0.0000 0.5000  4 Ca 2.88, 4 Be 2.88
Ca: 0.5000 0.5000 0.0000  4 Ca 2.88, 4 Be 2.88
Ca: 0.7500 0.2500 0.7500  4 Ca 2.88, 4 Rh 2.88
Ca: 0.7500 0.7500 0.2500  4 Ca 2.88, 4 Rh 2.88
Be: 0.2500 0.2500 0.7500  4 Ca 2.88, 4 Rh 2.88
Be: 0.2500 0.7500 0.2500  4 Ca 2.88, 4 Rh 2.88
Be: 0.7500 0.2500 0.2500  4 Ca 2.88, 4 Rh 2.88
Be: 0.7500 0.7500 0.7500  4 Ca 2.88, 4 Rh 2.88
Rh: 0.0000 0.0000 0.5000  4 Be 2.88, 4 Ca 2.88
Rh: 0.0000 0.5000 0.0000  4 Be 2.88, 4 Ca 2.88
Rh: 0.5000 0.0000 0.0000  4 Be 2.88, 4 Ca 2.88
Rh: 0.5000 0.5000 0.5000  4 Be 2.88, 4 Ca 2.88

***

No. 8
Material: CaBe2Rh2
Method: DFT, SCAN
State: single point on PBEsol structure

Summary:
Formation energy: -0.5888 eV per atom

Cell: 4.0895 4.0895 8.9290 Å, 90.00 90.00 90.00°
Last column: nearest neighbours and their distance in Å.
Fractional positions:
Ca: 0.0000 0.0000 0.0000  8 Rh 3.03, 10 Be 3.08-3.21
Ca: 0.5000 0.5000 0.5000  8 Rh 3.03, 10 Be 3.08-3.21
Be: 0.0000 0.0000 0.3450  4 Rh 2.21
Be: 0.0000 0.0000 0.6550  4 Rh 2.21
Be: 0.5000 0.5000 0.1550  4 Rh 2.21
Be: 0.5000 0.5000 0.8450  4 Rh 2.21
Rh: 0.0000 0.5000 0.2500  4 Be 2.21
Rh: 0.0000 0.5000 0.7500  4 Be 2.21
Rh: 0.5000 0.0000 0.2500  4 Be 2.21
Rh: 0.5000 0.0000 0.7500  4 Be 2.21

***

Number 1: DFT total energy -0.4779 hartree per atom. Number 2: DFT total energy -0.4837 hartree per atom. Number 3: DFT total energy -0.5430 hartree per atom. Number 4: DFT total energy -0.4474 hartree per atom. Number 5: DFT total energy -0.4947 hartree per atom. Number 6: DFT total energy -0.4942 hartree per atom. Number 7: DFT total energy -0.5232 hartree per atom. Number 8: DFT total energy -0.6531 hartree per atom.